(1)
First-principles (PBE) data for a relaxed structure of Pr2TlIr, as listed in the Alexandria database.

Unit cell a=4.1273 b=4.1273 c=8.6351 alpha=76.17 beta=76.17 gamma=60.00
Closest atoms and distances in Å follow each position.
Positions (direct):
1 Pr 0.7318 0.7318 0.8045  3 Ir 2.88
2 Pr 0.2682 0.2682 0.1955  3 Ir 2.88
3 Tl 0.5000 0.5000 0.5000  6 Pr 3.47
4 Ir 0.0000 0.0000 0.0000  6 Pr 2.88

**DFT formation energy**: -0.4524 eV/atom
**Space group**: No. 166
**Excess energy over the best structure of this formula in the dataset**: 6.3 meV per atom



(2)
First-principles (PBE) data for a relaxed structure of Pr12Tl6Ir, as listed in the Alexandria database.

Unit cell a=8.6599 b=8.6599 c=8.6599 alpha=93.98 beta=93.98 gamma=93.98
Closest atoms and distances in Å follow each position.
Positions (direct):
1 Pr 0.8008 0.5732 0.4542  4 Tl 3.25-3.37
2 Pr 0.4542 0.8008 0.5732  4 Tl 3.25-3.37
3 Pr 0.5732 0.4542 0.8008  4 Tl 3.25-3.37
4 Pr 0.1992 0.4268 0.5458  4 Tl 3.25-3.37
5 Pr 0.5458 0.1992 0.4268  4 Tl 3.25-3.37
6 Pr 0.4268 0.5458 0.1992  4 Tl 3.25-3.37
7 Pr 0.9721 0.0869 0.3171  1 Ir 2.83
8 Pr 0.9131 0.6829 0.0279  1 Ir 2.83
9 Pr 0.6829 0.0279 0.9131  1 Ir 2.83
10 Pr 0.0279 0.9131 0.6829  1 Ir 2.83
11 Pr 0.0869 0.3171 0.9721  1 Ir 2.83
12 Pr 0.3171 0.9721 0.0869  1 Ir 2.83
13 Tl 0.6546 0.8610 0.2692  8 Pr 3.25-3.53
14 Tl 0.7308 0.3454 0.1390  8 Pr 3.25-3.53
15 Tl 0.1390 0.7308 0.3454  8 Pr 3.25-3.53
16 Tl 0.3454 0.1390 0.7308  8 Pr 3.25-3.53
17 Tl 0.2692 0.6546 0.8610  8 Pr 3.25-3.53
18 Tl 0.8610 0.2692 0.6546  8 Pr 3.25-3.53
19 Ir 0.0000 0.0000 0.0000  6 Pr 2.83

**DFT formation energy**: -0.2189 eV/atom
**Space group**: No. 148



(3)
First-principles (PBE) data for a relaxed structure of Pr6Tl3Ir, as listed in the Alexandria database.

Unit cell a=8.3523 b=8.8550 c=8.8550 alpha=85.06 beta=90.00 gamma=90.00
Closest atoms and distances in Å follow each position.
Positions (direct):
1 Pr 0.2866 0.5447 0.7583  4 Tl 3.21-3.32
2 Pr 0.7866 0.7583 0.5447  4 Tl 3.21-3.32
3 Pr 0.1105 0.2222 0.0629  2 Ir 3.02-3.05, 1 Tl 3.29
4 Pr 0.6105 0.0629 0.2222  2 Ir 3.02-3.05, 1 Tl 3.29
5 Pr 0.9980 0.8378 0.1622  2 Ir 2.94-3.03
6 Pr 0.9040 0.2999 0.7001  1 Ir 3.04, 4 Tl 3.22-3.37
7 Pr 0.4040 0.7001 0.2999  1 Ir 3.04, 4 Tl 3.22-3.37
8 Pr 0.4980 0.1622 0.8378  2 Ir 2.94-3.03
9 Pr 0.1105 0.9371 0.7778  2 Ir 3.02-3.05, 1 Tl 3.29
10 Pr 0.6105 0.7778 0.9371  2 Ir 3.02-3.05, 1 Tl 3.29
11 Pr 0.2866 0.2417 0.4553  4 Tl 3.21-3.32
12 Pr 0.7866 0.4553 0.2417  4 Tl 3.21-3.32
13 Tl 0.4418 0.9097 0.5821  6 Pr 3.21-3.55
14 Tl 0.9418 0.5821 0.9097  6 Pr 3.21-3.55
15 Tl 0.5813 0.4471 0.5529  7 Pr 3.22-3.48
16 Tl 0.0813 0.5529 0.4471  7 Pr 3.22-3.48
17 Tl 0.9418 0.0903 0.4179  6 Pr 3.21-3.55
18 Tl 0.4418 0.4179 0.0903  6 Pr 3.21-3.55
19 Ir 0.8241 0.0517 0.9483  7 Pr 2.94-3.05
20 Ir 0.3241 0.9483 0.0517  7 Pr 2.94-3.05

**DFT formation energy**: -0.2665 eV/atom
**Space group**: No. 36



(4)
First-principles (PBE) data for a relaxed structure of Pr5Tl2Ir2, as listed in the Alexandria database.

Unit cell a=8.4842 b=7.5236 c=9.0604 alpha=114.53 beta=90.00 gamma=90.00
Closest atoms and distances in Å follow each position.
Positions (direct):
1 Pr 0.0000 0.0000 0.0000  2 Ir 2.98
2 Pr 0.5000 0.5000 0.0000  2 Ir 2.98
3 Pr 0.8223 0.7814 0.2360  3 Ir 2.97-3.22
4 Pr 0.1777 0.4545 0.2360  3 Ir 2.97-3.22
5 Pr 0.3223 0.9545 0.2360  3 Ir 2.97-3.22
6 Pr 0.6777 0.2814 0.2360  3 Ir 2.97-3.22
7 Pr 0.1777 0.2186 0.7640  3 Ir 2.97-3.22
8 Pr 0.8223 0.5455 0.7640  3 Ir 2.97-3.22
9 Pr 0.6777 0.0455 0.7640  3 Ir 2.97-3.22
10 Pr 0.3223 0.7186 0.7640  3 Ir 2.97-3.22
11 Tl 0.0000 0.2166 0.4331  7 Pr 3.35-3.57
12 Tl 0.5000 0.7166 0.4331  7 Pr 3.35-3.57
13 Tl 0.0000 0.7834 0.5669  7 Pr 3.35-3.57
14 Tl 0.5000 0.2834 0.5669  7 Pr 3.35-3.57
15 Ir 0.6228 0.8715 0.0000  1 Ir 2.84, 5 Pr 2.97-3.02
16 Ir 0.3772 0.1285 0.0000  1 Ir 2.84, 5 Pr 2.97-3.02
17 Ir 0.1228 0.6285 0.0000  1 Ir 2.84, 5 Pr 2.97-3.02
18 Ir 0.8772 0.3715 0.0000  1 Ir 2.84, 5 Pr 2.97-3.02

**DFT formation energy**: -0.4723 eV/atom
**Space group**: No. 64



(5)
First-principles (PBE) data for a relaxed structure of PrTlIr4, as listed in the Alexandria database.

Unit cell a=5.4090 b=5.4090 c=5.4090 alpha=60.00 beta=60.00 gamma=60.00
Closest atoms and distances in Å follow each position.
Positions (direct):
1 Pr 0.2500 0.2500 0.2500  12 Ir 3.17, 4 Tl 3.31
2 Tl 0.0000 0.0000 0.0000  12 Ir 3.17, 4 Pr 3.31
3 Ir 0.6254 0.6254 0.1237  6 Ir 2.69-2.71
4 Ir 0.6254 0.1237 0.6254  6 Ir 2.69-2.71
5 Ir 0.6254 0.6254 0.6254  6 Ir 2.69-2.71
6 Ir 0.1237 0.6254 0.6254  6 Ir 2.69-2.71

**DFT formation energy**: -0.1721 eV/atom
**Space group**: No. 216



(6)
First-principles (PBE) data for a relaxed structure of PrTlIr, as listed in the Alexandria database.

Unit cell a=4.8389 b=4.8389 c=4.8389 alpha=60.00 beta=60.00 gamma=60.00
Closest atoms and distances in Å follow each position.
Positions (direct):
1 Pr 0.5000 0.5000 0.5000  4 Ir 2.96
2 Tl 0.0000 0.0000 0.0000  4 Ir 2.96
3 Ir 0.2500 0.2500 0.2500  4 Pr 2.96, 4 Tl 2.96

**DFT formation energy**: -0.2961 eV/atom
**Space group**: No. 216



(7)
First-principles (PBE) data for a relaxed structure of Pr6TlIr, as listed in the Alexandria database.

Unit cell a=6.6877 b=6.6877 c=6.7733 alpha=99.21 beta=99.21 gamma=104.90
Closest atoms and distances in Å follow each position.
Positions (direct):
1 Pr 0.2174 0.2174 0.6538  1 Ir 2.77
2 Pr 0.5642 0.1864 0.2127  1 Ir 2.79
3 Pr 0.7826 0.7826 0.3462  1 Ir 2.77
4 Pr 0.8136 0.4358 0.7873  1 Ir 2.79
5 Pr 0.4358 0.8136 0.7873  1 Ir 2.79
6 Pr 0.1864 0.5642 0.2127  1 Ir 2.79
7 Tl 0.0000 0.0000 0.0000  6 Pr 3.29-3.62
8 Ir 0.5000 0.5000 0.5000  6 Pr 2.77-2.79

**DFT formation energy**: -0.1282 eV/atom
**Space group**: No. 12



(8)
First-principles (PBE) data for a relaxed structure of Pr2TlIr, as listed in the Alexandria database.

Unit cell a=4.1834 b=4.1834 c=8.5265 alpha=75.80 beta=75.80 gamma=60.00
Closest atoms and distances in Å follow each position.
Positions (direct):
1 Pr 0.0639 0.0639 0.8084  3 Ir 2.89
2 Pr 0.2695 0.2695 0.1916  3 Ir 2.87
3 Tl 0.5006 0.5006 0.4981  6 Pr 3.48-3.50
4 Ir 0.6660 0.6660 0.0019  6 Pr 2.87-2.89

**DFT formation energy**: -0.4405 eV/atom
**Space group**: No. 160
**Excess energy over the best structure of this formula in the dataset**: 18.2 meV per atom



(9)
First-principles (PBE) data for a relaxed structure of Pr5Tl2Ir, as listed in the Alexandria database.

Unit cell a=4.8601 b=8.1664 c=12.5781 alpha=90.00 beta=90.00 gamma=90.00
Closest atoms and distances in Å follow each position.
Positions (direct):
1 Pr 0.0000 0.0000 0.5000  4 Tl 3.28, 4 Pr 3.66
2 Pr 0.0000 0.5000 0.0000  4 Tl 3.28, 4 Pr 3.66
3 Pr 0.0000 0.8628 0.2033  1 Ir 2.79
4 Pr 0.0000 0.1372 0.7967  1 Ir 2.79
5 Pr 0.0000 0.6372 0.7033  1 Ir 2.79
6 Pr 0.0000 0.3628 0.2967  1 Ir 2.79
7 Pr 0.5000 0.6828 0.4293  2 Ir 2.99
8 Pr 0.5000 0.3172 0.5707  2 Ir 2.99
9 Pr 0.5000 0.8172 0.9293  2 Ir 2.99
10 Pr 0.5000 0.1828 0.0707  2 Ir 2.99
11 Tl 0.5000 0.5763 0.1685  9 Pr 3.28-3.59
12 Tl 0.5000 0.4237 0.8315  9 Pr 3.28-3.59
13 Tl 0.5000 0.9237 0.6685  9 Pr 3.28-3.59
14 Tl 0.5000 0.0763 0.3315  9 Pr 3.28-3.59
15 Ir 0.0000 0.5000 0.5000  6 Pr 2.79-2.99
16 Ir 0.0000 0.0000 0.0000  6 Pr 2.79-2.99

**DFT formation energy**: -0.4239 eV/atom
**Space group**: No. 55
**Excess energy over the best structure of this formula in the dataset**: 0.0 meV per atom



(10)
First-principles (PBE) data for a relaxed structure of Pr5Tl2Ir, as listed in the Alexandria database.

Unit cell a=7.2966 b=7.2967 c=6.8892 alpha=121.95 beta=121.95 gamma=90.05
Closest atoms and distances in Å follow each position.
Positions (direct):
1 Pr 0.7355 0.2342 0.9697  1 Ir 2.88
2 Pr 0.2337 0.2337 0.9685  1 Ir 2.88
3 Pr 0.7349 0.7349 0.9685  1 Ir 2.88
4 Pr 0.2341 0.7356 0.9697  1 Ir 2.88
5 Pr 0.7481 0.7481 0.4961  8 Pr 3.36-3.53, 1 Ir 3.45, 4 Tl 3.65
6 Tl 0.2324 0.7323 0.4648  10 Pr 3.43-3.65, 2 Ir 3.77-3.78
7 Tl 0.7324 0.2323 0.4648  10 Pr 3.43-3.65, 2 Ir 3.78
8 Ir 0.1260 0.1260 0.2520  4 Pr 2.88

**DFT formation energy**: -0.2253 eV/atom
**Space group**: No. 107
**Excess energy over the best structure of this formula in the dataset**: 198.6 meV per atom



(11)
First-principles (PBE) data for a relaxed structure of Pr4TlIr2, as listed in the Alexandria database.

Unit cell a=4.3384 b=4.3384 c=13.5337 alpha=80.78 beta=80.78 gamma=60.00
Closest atoms and distances in Å follow each position.
Positions (direct):
1 Pr 0.3923 0.3923 0.8232  3 Ir 2.91
2 Pr 0.2025 0.2025 0.3926  3 Ir 2.86
3 Pr 0.7975 0.7975 0.6074  3 Ir 2.86
4 Pr 0.6077 0.6077 0.1768  3 Ir 2.91
5 Tl 0.0000 0.0000 0.0000  6 Pr 3.44, 2 Ir 3.83
6 Ir 0.0961 0.0961 0.7118  6 Pr 2.86-2.91
7 Ir 0.9039 0.9039 0.2882  6 Pr 2.86-2.91

**DFT formation energy**: -0.4779 eV/atom
**Space group**: No. 166



(12)
First-principles (PBE) data for a relaxed structure of Pr2TlIr, as listed in the Alexandria database.

Unit cell a=5.3008 b=5.3008 c=5.3008 alpha=60.00 beta=60.00 gamma=60.00
Closest atoms and distances in Å follow each position.
Positions (direct):
1 Pr 0.2500 0.2500 0.2500  4 Tl 3.25, 4 Ir 3.25
2 Pr 0.7500 0.7500 0.7500  4 Tl 3.25, 4 Ir 3.25
3 Tl 0.0000 0.0000 0.0000  8 Pr 3.25
4 Ir 0.5000 0.5000 0.5000  8 Pr 3.25

**DFT formation energy**: -0.3253 eV/atom
**Space group**: No. 225
**Excess energy over the best structure of this formula in the dataset**: 133.4 meV per atom



Q: Among the records above, which one has the highest DFT formation energy?
A: Pr6TlIr



Q: Which formula does entry 3 have?
A: Pr6Tl3Ir



Q: Which value of DFT formation energy does entry 7 give?
A: -0.1282 eV/atom